Entry 1:
Density functional theory data (PBE) for an optimized crystal structure of CrSi2Sb.

Uncorrected formation energy   0.6311 eV per atom
Crystal system   cubic
Density of states at the Fermi level   0.7694 states/eV per atom

abc: 6.6009 6.6009 6.6009
angles: 90.00 90.00 90.00
Space group F-43m (No. 216)
Asymmetric unit:
Cr1 0.0000 0.0000 0.0000 x4
Si1 0.0000 0.0000 0.5000 x4
Si2 0.2500 0.2500 0.2500 x4
Sb1 0.2500 0.2500 0.7500 x4


Entry 2:
Density functional theory data (PBE) for an optimized crystal structure of CrSi2Sb.

Uncorrected formation energy   0.4297 eV per atom
Crystal system   monoclinic
Density of states at the Fermi level   0.5475 states/eV per atom

abc: 5.3478 10.0120 3.8153
angles: 90.00 133.92 90.00
Space group C2/m (No. 12)
Asymmetric unit:
Cr1 0.0000 0.0000 0.0000 x2
Si1 0.2500 0.2500 0.5000 x4
Sb1 0.0000 0.5000 0.0000 x2


Entry 3:
Density functional theory data (PBE) for an optimized crystal structure of CrSi2Sb.

Uncorrected formation energy   0.3510 eV per atom
Crystal system   trigonal
Density of states at the Fermi level   0.6623 states/eV per atom

abc: 3.1030 3.1030 24.4468
angles: 90.00 90.00 120.00
Space group R-3m (No. 166, hexagonal axes)
Asymmetric unit:
Cr1 0.0000 0.0000 0.0000 x3
Si1 0.0000 0.0000 0.2677 x6
Sb1 0.0000 0.0000 0.5000 x3


Entry 4:
Density functional theory data (PBE) for an optimized crystal structure of CrSi3Sb.

Uncorrected formation energy   0.5509 eV per atom
Crystal system   cubic
Energy above the most stable polymorph in this dataset   0.000 eV/atom
Density of states at the Fermi level   0.7971 states/eV per atom

abc: 4.5897 4.5897 4.5897
angles: 90.00 90.00 90.00
Space group Pm-3m (No. 221)
Asymmetric unit:
Cr1 0.0000 0.0000 0.0000 x1
Si1 0.0000 0.0000 0.5000 x3
Sb1 0.5000 0.5000 0.5000 x1


Entry 5:
Density functional theory data (PBE) for an optimized crystal structure of CrSi2Sb.

Uncorrected formation energy   0.5378 eV per atom
Crystal system   tetragonal
Density of states at the Fermi level   0.5121 states/eV per atom

abc: 4.0430 4.0430 4.3822
angles: 90.00 90.00 90.00
Space group P4/mmm (No. 123)
Asymmetric unit:
Cr1 0.0000 0.0000 0.0000 x1
Si1 0.0000 0.5000 0.5000 x2
Sb1 0.5000 0.5000 0.0000 x1


Entry 6:
Density functional theory data (PBE) for an optimized crystal structure of CrSi2Sb.

Uncorrected formation energy   0.2328 eV per atom
Crystal system   monoclinic
Density of states at the Fermi level   0.3340 states/eV per atom

abc: 7.9001 3.2722 5.7134
angles: 90.00 92.31 90.00
Space group Cm (No. 8)
Asymmetric unit:
Cr1 0.0000 0.0000 0.0000 x2
Si1 0.2084 0.5000 0.8792 x2
Si2 0.4353 0.0000 0.7075 x2
Sb1 0.3097 0.0000 0.2743 x2


Entry 7:
Density functional theory data (PBE) for an optimized crystal structure of Cr4SiSb.

Uncorrected formation energy   0.3514 eV per atom
Crystal system   cubic
Density of states at the Fermi level   1.1264 states/eV per atom

abc: 6.8796 6.8796 6.8796
angles: 90.00 90.00 90.00
Space group F-43m (No. 216)
Asymmetric unit:
Cr1 0.1243 0.1243 0.3757 x16
Si1 0.2500 0.2500 0.7500 x4
Sb1 0.0000 0.0000 0.0000 x4


Entry 8:
Density functional theory data (PBE) for an optimized crystal structure of CrSi2Sb.

Uncorrected formation energy   0.5967 eV per atom
Crystal system   tetragonal
Density of states at the Fermi level   0.3894 states/eV per atom

abc: 5.8743 5.8743 11.5686
angles: 90.00 90.00 90.00
Space group I-42d (No. 122)
Asymmetric unit:
Cr1 0.0000 0.0000 0.0000 x4
Si1 0.2207 0.2500 0.1250 x8
Sb1 0.0000 0.0000 0.5000 x4


Entry 9:
Density functional theory data (PBE) for an optimized crystal structure of CrSi2Sb.

Uncorrected formation energy   0.5177 eV per atom
Crystal system   orthorhombic
Density of states at the Fermi level   0.6515 states/eV per atom

abc: 3.5453 4.7415 8.1161
angles: 90.00 90.00 90.00
Space group Immm (No. 71)
Asymmetric unit:
Cr1 0.0000 0.0000 0.0000 x2
Si1 0.0000 0.5000 0.2640 x4
Sb1 0.0000 0.0000 0.5000 x2


Entry 10:
Density functional theory data (PBE) for an optimized crystal structure of CrSiSb2.

Uncorrected formation energy   0.4672 eV per atom
Crystal system   tetragonal
Density of states at the Fermi level   0.7357 states/eV per atom

abc: 3.3175 3.3175 7.3645
angles: 90.00 90.00 90.00
Space group P4/mmm (No. 123)
Asymmetric unit:
Cr1 0.0000 0.0000 0.0000 x1
Si1 0.0000 0.0000 0.5000 x1
Sb1 0.5000 0.5000 0.2262 x2


Entry 11:
Density functional theory data (PBE) for an optimized crystal structure of CrSi2Sb.

Uncorrected formation energy   0.2621 eV per atom
Crystal system   tetragonal
Density of states at the Fermi level   0.6013 states/eV per atom

abc: 3.0692 3.0692 7.4944
angles: 90.00 90.00 90.00
Space group P4mm (No. 99)
Asymmetric unit:
Cr1 0.0000 0.0000 0.0000 x1
Si1 0.0000 0.0000 0.6586 x1
Si2 0.5000 0.5000 0.8498 x1
Sb1 0.5000 0.5000 0.2531 x1


Entry 12:
Density functional theory data (PBE) for an optimized crystal structure of CrSiSb2.

Uncorrected formation energy   0.2081 eV per atom
Crystal system   monoclinic
Density of states at the Fermi level   0.5044 states/eV per atom

abc: 4.0939 3.8127 5.5230
angles: 90.00 111.74 90.00
Space group Pm (No. 6)
Asymmetric unit:
Cr1 0.0000 0.0000 0.0000 x1
Si1 0.1558 0.5000 0.3082 x1
Sb1 0.4172 0.5000 0.8345 x1
Sb2 0.7096 0.0000 0.4176 x1


Entry 13:
Density functional theory data (PBE) for an optimized crystal structure of CrSiSb2.

Uncorrected formation energy   0.6426 eV per atom
Crystal system   cubic
Density of states at the Fermi level   0.7172 states/eV per atom

abc: 7.0608 7.0608 7.0608
angles: 90.00 90.00 90.00
Space group F-43m (No. 216)
Asymmetric unit:
Cr1 0.0000 0.0000 0.0000 x4
Si1 0.2500 0.2500 0.7500 x4
Sb1 0.0000 0.0000 0.5000 x4
Sb2 0.2500 0.2500 0.2500 x4


Entry 14:
Density functional theory data (PBE) for an optimized crystal structure of Cr2Si2Sb.

Uncorrected formation energy   0.1775 eV per atom
Crystal system   tetragonal
Energy above the most stable polymorph in this dataset   0.203 eV/atom
Density of states at the Fermi level   0.9068 states/eV per atom

abc: 6.9976 6.9976 2.9852
angles: 90.00 90.00 90.00
Space group P4/mbm (No. 127)
Asymmetric unit:
Cr1 0.1517 0.3483 0.0000 x4
Si1 0.1329 0.6329 0.5000 x4
Sb1 0.0000 0.0000 0.0000 x2


Entry 15:
Density functional theory data (PBE) for an optimized crystal structure of CrSi2Sb.

Uncorrected formation energy   0.2970 eV per atom
Crystal system   monoclinic
Density of states at the Fermi level   0.5217 states/eV per atom

abc: 7.9675 3.2916 5.3247
angles: 90.00 97.82 90.00
Space group C2/m (No. 12)
Asymmetric unit:
Cr1 0.0000 0.0000 0.0000 x2
Si1 0.2218 0.5000 0.1523 x4
Sb1 0.0000 0.5000 0.5000 x2